[1]
AcPt2Au6: optimized geometry, PBE.

Properties
DFT formation energy = -0.08 eV per atom
Space group = P6/mmm, No. 191

Geometry as extended XYZ:
```
9
Lattice="5.6882 0.0000 0.0000 -2.8441 4.9262 0.0000 0.0000 0.0000 7.5268" Properties=species:S:1:pos:R:3 pbc="T T T"
Ac 0.0000 0.0000 0.0000
Pt 0.0000 3.2841 3.7634
Pt 2.8441 1.6421 3.7634
Au -1.4221 2.4631 1.5470
Au -1.4221 2.4631 5.9798
Au 2.8441 0.0000 1.5470
Au 2.8441 0.0000 5.9798
Au 1.4221 2.4631 1.5470
Au 1.4221 2.4631 5.9798
```

***

[2]
Sm2HRu: optimized geometry, PBE.

Properties
Energy above the most stable polymorph in this dataset = 151.6 meV per atom
Space group = R-3m, No. 166

Geometry as extended XYZ:
```
12
Lattice="3.7028 0.0000 0.0000 -1.8514 3.2067 0.0000 0.0000 0.0000 20.2738" Properties=species:S:1:pos:R:3 pbc="T T T"
Sm 0.0000 0.0000 4.9025
Sm 0.0000 0.0000 15.3712
Sm 0.0000 2.1378 8.6133
Sm 0.0000 2.1378 18.4184
Sm 1.8514 1.0689 1.8554
Sm 1.8514 1.0689 11.6605
H 0.0000 0.0000 10.1369
H 0.0000 2.1378 3.3790
H 1.8514 1.0689 16.8948
Ru 0.0000 0.0000 0.0000
Ru 0.0000 2.1378 13.5159
Ru 1.8514 1.0689 6.7579
```

***

[3]
MgBe3Nb: optimized geometry, PBE.

Properties
DFT formation energy = 1.24 eV per atom
Energy above the most stable polymorph in this dataset = 0.0 meV per atom
Space group = Pm-3m, No. 221

Geometry as extended XYZ:
```
5
Lattice="4.1102 0.0000 0.0000 0.0000 4.1102 0.0000 0.0000 0.0000 4.1102" Properties=species:S:1:pos:R:3 pbc="T T T"
Mg 0.0000 0.0000 0.0000
Be 0.0000 0.0000 2.0551
Be 0.0000 2.0551 0.0000
Be 2.0551 0.0000 0.0000
Nb 2.0551 2.0551 2.0551
```

***

[4]
AcHo12Er5: optimized geometry, PBE.

Properties
DFT formation energy = 0.13 eV per atom
Space group = C2/m, No. 12

Geometry as extended XYZ:
```
18
Lattice="5.6378 -8.5788 0.0000 5.6378 8.5788 0.0000 -0.0450 0.0000 5.9222" Properties=species:S:1:pos:R:3 pbc="T T T"
Ac 0.0000 0.0000 0.0000
Ho 2.0288 2.8690 5.5923
Ho 3.6917 2.8883 2.6542
Ho 2.0574 0.0000 3.1815
Ho 3.8255 0.0000 0.2283
Ho 2.0288 -2.8690 5.5923
Ho 3.6917 -2.8883 2.6542
Ho 7.5388 2.8883 3.2680
Ho 9.2017 2.8690 0.3299
Ho 7.4050 0.0000 5.6939
Ho 9.1731 0.0000 2.7407
Ho 7.5388 -2.8883 3.2680
Ho 9.2017 -2.8690 0.3299
Er 5.6152 5.7449 2.9611
Er 5.6378 3.0032 0.0000
Er 5.6152 0.0000 2.9611
Er 5.6378 -3.0032 0.0000
Er 5.6152 -5.7449 2.9611
```

***

[5]
SmInGa2Pd2: optimized geometry, PBE.

Properties
DFT formation energy = -0.66 eV per atom
Space group = P-3m1, No. 164

Geometry as extended XYZ:
```
6
Lattice="4.4345 0.0000 0.0000 -2.2173 3.8404 0.0000 0.0000 0.0000 6.8920" Properties=species:S:1:pos:R:3 pbc="T T T"
Sm 0.0000 0.0000 0.0000
In 0.0000 0.0000 3.4460
Ga 0.0000 2.5603 5.1450
Ga 2.2173 1.2801 1.7469
Pd 0.0000 2.5603 2.2153
Pd 2.2173 1.2801 4.6766
```

***

[6]
TlPSe3: optimized geometry, PBE.

Properties
Space group = Pm-3m, No. 221
E_form (uncorrected) = 0.158 eV per atom

Geometry as extended XYZ:
```
5
Lattice="4.9803 0.0000 0.0000 0.0000 4.9803 0.0000 0.0000 0.0000 4.9803" Properties=species:S:1:pos:R:3 pbc="T T T"
Tl 0.0000 0.0000 0.0000
P 2.4901 2.4901 2.4901
Se 0.0000 2.4901 2.4901
Se 2.4901 0.0000 2.4901
Se 2.4901 2.4901 0.0000
```

***

[7]
TbEuZn: optimized geometry, PBE.

Properties
DFT formation energy = 0.01 eV per atom
Energy above the most stable polymorph in this dataset = 179.8 meV per atom
Space group = P3m1, No. 156

Geometry as extended XYZ:
```
3
Lattice="5.0986 0.0000 0.0000 -2.5493 4.4155 0.0000 0.0000 0.0000 3.8696" Properties=species:S:1:pos:R:3 pbc="T T T"
Tb 0.0000 0.0000 0.0000
Eu 2.5493 1.4718 2.0565
Zn 0.0000 2.9437 0.5655
```

***

[8]
K3ScU2Se6: optimized geometry, PBE.

Properties
Space group = C2/m, No. 12
E_form (uncorrected) = -1.351 eV per atom

Geometry as extended XYZ:
```
12
Lattice="3.5921 -6.2219 0.0000 3.5921 6.2219 0.0000 -2.3975 0.0000 7.7265" Properties=species:S:1:pos:R:3 pbc="T T T"
K 0.0000 0.0000 0.0000
K 3.5921 2.0924 0.0000
K 3.5921 -2.0924 0.0000
Sc 2.3933 0.0000 3.8633
U 2.3933 4.1493 3.8633
U 2.3933 -4.1493 3.8633
Se 1.2366 2.0050 2.2842
Se 0.0790 0.0000 5.4441
Se 1.2366 -2.0050 2.2842
Se 3.5501 2.0050 5.4424
Se 4.7077 0.0000 2.2825
Se 3.5501 -2.0050 5.4424
```

***

[9]
Pm4Pd2Ru: optimized geometry, PBE.

Properties
DFT formation energy = -0.25 eV per atom
Space group = I4/mmm, No. 139

Geometry as extended XYZ:
```
14
Lattice="5.2682 0.0000 0.0000 0.0000 5.2682 0.0000 0.0000 0.0000 14.5180" Properties=species:S:1:pos:R:3 pbc="T T T"
Pm 0.0000 0.0000 2.8018
Pm 0.0000 0.0000 11.7163
Pm 0.0000 2.6341 0.0000
Pm 0.0000 2.6341 7.2590
Pm 2.6341 0.0000 0.0000
Pm 2.6341 0.0000 7.2590
Pm 2.6341 2.6341 4.4572
Pm 2.6341 2.6341 10.0608
Pd 0.0000 0.0000 5.5869
Pd 0.0000 0.0000 8.9311
Pd 2.6341 2.6341 1.6721
Pd 2.6341 2.6341 12.8459
Ru 0.0000 0.0000 0.0000
Ru 2.6341 2.6341 7.2590
```

***

[10]
MgTiCdRh: optimized geometry, PBE.

Properties
DFT formation energy = -0.29 eV per atom
Energy above the most stable polymorph in this dataset = 132.9 meV per atom
Space group = F-43m, No. 216

Geometry as extended XYZ:
```
16
Lattice="6.4769 0.0000 0.0000 0.0000 6.4769 0.0000 0.0000 0.0000 6.4769" Properties=species:S:1:pos:R:3 pbc="T T T"
Mg 0.0000 0.0000 0.0000
Mg 0.0000 3.2384 3.2384
Mg 3.2384 0.0000 3.2384
Mg 3.2384 3.2384 0.0000
Ti 0.0000 0.0000 3.2384
Ti 0.0000 3.2384 0.0000
Ti 3.2384 0.0000 0.0000
Ti 3.2384 3.2384 3.2384
Cd 1.6192 1.6192 1.6192
Cd 1.6192 4.8577 4.8577
Cd 4.8577 1.6192 4.8577
Cd 4.8577 4.8577 1.6192
Rh 1.6192 1.6192 4.8577
Rh 1.6192 4.8577 1.6192
Rh 4.8577 1.6192 1.6192
Rh 4.8577 4.8577 4.8577
```

***

[11]
InAg2Se2F2: optimized geometry, PBE.

Properties
Space group = P-1, No. 2
E_form (uncorrected) = -0.844 eV per atom

Geometry as extended XYZ:
```
7
Lattice="3.7522 0.0000 0.0000 1.1958 6.4333 0.0000 0.9126 2.2422 6.1686" Properties=species:S:1:pos:R:3 pbc="T T T"
In 0.0000 0.0000 0.0000
Ag 1.4881 2.1874 2.8506
Ag 4.3724 6.4880 3.3180
Se 2.3940 6.2832 5.1000
Se 3.4665 2.3923 1.0686
F 2.7263 2.8459 4.9083
F 3.1342 5.8295 1.2603
```

***

[12]
La12Pr5Er2: optimized geometry, PBE.

Properties
DFT formation energy = 0.08 eV per atom
Energy above the most stable polymorph in this dataset = 0.0 meV per atom
Space group = P-1, No. 2

Geometry as extended XYZ:
```
19
Lattice="6.3755 0.0000 0.0000 2.0163 10.7825 0.0000 2.0083 4.0924 9.9864" Properties=species:S:1:pos:R:3 pbc="T T T"
La 1.5571 5.7001 3.8299
La 2.4983 2.8246 5.6076
La 2.5012 6.2460 0.4917
La 5.5252 14.0792 9.4518
La 4.8373 7.2602 8.5693
La 4.8475 10.6787 3.4857
La 5.5526 4.1962 6.5006
La 5.5628 7.6147 1.4170
La 4.8749 0.7957 0.5345
La 7.8989 8.6289 9.4947
La 7.9018 12.0503 4.3788
La 8.8430 9.1748 6.1564
Pr 1.6563 2.6556 1.7858
Pr 5.6728 10.6238 7.1367
Pr 5.2001 7.4374 4.9932
Pr 4.7273 4.2511 2.8497
Pr 8.7438 12.2193 8.2005
Er 2.0230 8.9953 2.6627
Er 8.3771 5.8796 7.3236
```

***

Number 1: DOS(E_F) 4.7 states/eV/cell, total DFT energy (no corrections) -4.0598 eV/atom. Number 2: DOS(E_F) 8.6 states/eV/cell, total DFT energy (no corrections) -5.6785 eV/atom. Number 3: DOS(E_F) 2.7 states/eV/cell, total DFT energy (no corrections) -3.3291 eV/atom. Number 4: DOS(E_F) 38.6 states/eV/cell, total DFT energy (no corrections) -4.4176 eV/atom. Number 5: DOS(E_F) 3.0 states/eV/cell, total DFT energy (no corrections) -4.6407 eV/atom. Number 6: DOS(E_F) 5.8 states/eV/cell, total DFT energy (no corrections) -3.4882 eV/atom. Number 7: DOS(E_F) 3.0 states/eV/cell, total DFT energy (no corrections) -5.3878 eV/atom. Number 8: DOS(E_F) 9.3 states/eV/cell, total DFT energy (no corrections) -5.7769 eV/atom. Number 9: DOS(E_F) 12.6 states/eV/cell, total DFT energy (no corrections) -5.7727 eV/atom. Number 10: DOS(E_F) 15.2 states/eV/cell, total DFT energy (no corrections) -4.7250 eV/atom. Number 11: DOS(E_F) 2.5 states/eV/cell, total DFT energy (no corrections) -3.5797 eV/atom. Number 12: DOS(E_F) 30.6 states/eV/cell, total DFT energy (no corrections) -4.7691 eV/atom.